Here is a relaxed structure of MoPbO2 from Alexandria via LeMat-Bulk. Energies are from GGA+U.

a b c (Å): 7.631 7.631 7.631
angles (deg): 127.49 127.49 77.46
Positions (direct):
1 Pb 0.875 0.625 0.250
2 Pb 0.375 0.625 0.750
3 Pb 0.375 0.625 0.250
4 Pb 0.375 0.125 0.750
5 Mo 0.375 0.125 0.250
6 Mo 0.875 0.125 0.750
7 Mo 0.875 0.125 0.250
8 Mo 0.875 0.625 0.750
9 O 0.156 0.364 0.208
10 O 0.156 0.947 0.792
11 O 0.114 0.406 0.708
12 O 0.594 0.886 0.292
13 O 0.697 0.406 0.292
14 O 0.594 0.303 0.708
15 O 0.636 0.844 0.792
16 O 0.053 0.844 0.208

Calculated values
- N(E_F) (states/eV/f.u.) = 0.202
- VASP energy (eV per formula unit) = -24.04
- space group = I4_1/amd, No. 141
- crystal system = tetragonal